Record 1
A relaxed structure of HoEr2In2, computed with GGA-PBE.

CIF file:
```
data_HoEr2In2
_chemical_formula_sum 'Ho2 Er4 In4'
_symmetry_space_group_name_H-M 'P 1'
_symmetry_Int_Tables_number 1
_symmetry_space_group_name_Hall 'P 1'
_cell_length_a 3.7146
_cell_length_b 5.3098
_cell_length_c 13.8851
_cell_angle_alpha 90.00
_cell_angle_beta 97.70
_cell_angle_gamma 90.00
loop_
_atom_site_label
_atom_site_fract_x
_atom_site_fract_y
_atom_site_fract_z
Ho1 0.8511 0.7500 0.7004
Ho2 0.1489 0.2500 0.2996
Er1 0.0476 0.7500 0.0954
Er2 0.9524 0.2500 0.9046
Er3 0.2373 0.7500 0.4746
Er4 0.7627 0.2500 0.5254
In1 0.6426 0.7500 0.2867
In2 0.3574 0.2500 0.7133
In3 0.4495 0.7500 0.8997
In4 0.5505 0.2500 0.1003
```

distance to the lowest polymorph of the same formula: 0.000 eV/atom
DFT formation energy: -372 meV/atom
space group: No. 11

Record 2
A relaxed structure of TbPm8Cd2, computed with GGA-PBE.

CIF file:
```
data_TbPm8Cd2
_chemical_formula_sum 'Tb1 Pm8 Cd2'
_symmetry_space_group_name_H-M 'P 1'
_symmetry_Int_Tables_number 1
_symmetry_space_group_name_Hall 'P 1'
_cell_length_a 5.3998
_cell_length_b 8.4963
_cell_length_c 8.8899
_cell_angle_alpha 113.59
_cell_angle_beta 107.68
_cell_angle_gamma 90.00
loop_
_atom_site_label
_atom_site_fract_x
_atom_site_fract_y
_atom_site_fract_z
Tb1 0.5000 0.0000 0.0000
Pm1 0.6020 0.4674 0.2039
Pm2 0.3123 0.0447 0.6246
Pm3 0.1488 0.2060 0.2977
Pm4 0.0541 0.7382 0.1081
Pm5 0.8512 0.7940 0.7023
Pm6 0.6877 0.9553 0.3754
Pm7 0.3980 0.5326 0.7961
Pm8 0.9459 0.2618 0.8919
Cd1 0.2224 0.6308 0.4447
Cd2 0.7776 0.3692 0.5553
```

distance to the lowest polymorph of the same formula: 0.000 eV/atom
DFT formation energy: -72 meV/atom
space group: No. 12

Record 3
A relaxed structure of K2U3NbO12, computed with GGA-PBE.

CIF file:
```
data_K2U3NbO12
_chemical_formula_sum 'K2 U3 Nb1 O12'
_symmetry_space_group_name_H-M 'P 1'
_symmetry_Int_Tables_number 1
_symmetry_space_group_name_Hall 'P 1'
_cell_length_a 7.7058
_cell_length_b 7.7058
_cell_length_c 7.7058
_cell_angle_alpha 61.55
_cell_angle_beta 61.55
_cell_angle_gamma 61.55
loop_
_atom_site_label
_atom_site_fract_x
_atom_site_fract_y
_atom_site_fract_z
K1 0.6300 0.6300 0.6300
K2 0.3700 0.3700 0.3700
U1 0.5000 0.0000 0.0000
U2 0.0000 0.5000 0.0000
U3 0.0000 0.0000 0.5000
Nb1 0.0000 0.0000 0.0000
O1 0.3212 0.3212 0.9358
O2 0.9382 0.9382 0.3044
O3 0.3044 0.9382 0.9382
O4 0.9358 0.3212 0.3212
O5 0.9382 0.3044 0.9382
O6 0.3212 0.9358 0.3212
O7 0.6788 0.6788 0.0642
O8 0.0618 0.0618 0.6956
O9 0.6956 0.0618 0.0618
O10 0.0642 0.6788 0.6788
O11 0.0618 0.6956 0.0618
O12 0.6788 0.0642 0.6788
```

uncorrected formation energy: -2.85 eV/atom
space group: No. 166

Record 4
A relaxed structure of Ho2P3Ir5, computed with GGA-PBE.

CIF file:
```
data_Ho2P3Ir5
_chemical_formula_sum 'Ho4 P6 Ir10'
_symmetry_space_group_name_H-M 'P 1'
_symmetry_Int_Tables_number 1
_symmetry_space_group_name_Hall 'P 1'
_cell_length_a 3.9795
_cell_length_b 6.6270
_cell_length_c 12.5514
_cell_angle_alpha 90.00
_cell_angle_beta 99.12
_cell_angle_gamma 90.00
loop_
_atom_site_label
_atom_site_fract_x
_atom_site_fract_y
_atom_site_fract_z
Ho1 0.4741 0.7855 0.9482
Ho2 0.1761 0.7637 0.3522
Ho3 0.8239 0.2637 0.6478
Ho4 0.5259 0.2855 0.0518
P1 0.7873 0.6871 0.5746
P2 0.6103 0.5580 0.2206
P3 0.0402 0.9818 0.0804
P4 0.2127 0.1871 0.4254
P5 0.9598 0.4818 0.9196
P6 0.3897 0.0580 0.7794
Ir1 0.4109 0.4077 0.8218
Ir2 0.2620 0.5020 0.5239
Ir3 0.7380 0.0020 0.4761
Ir4 0.1154 0.1973 0.2307
Ir5 0.3135 0.8709 0.6270
Ir6 0.9415 0.1109 0.8831
Ir7 0.6865 0.3709 0.3730
Ir8 0.8846 0.6973 0.7693
Ir9 0.0585 0.6109 0.1169
Ir10 0.5891 0.9077 0.1782
```

DFT formation energy: -774 meV/atom
space group: No. 36

Record 5
A relaxed structure of BaNiSb2, computed with GGA-PBE.

CIF file:
```
data_BaNiSb2
_chemical_formula_sum 'Ba1 Ni1 Sb2'
_symmetry_space_group_name_H-M 'P 1'
_symmetry_Int_Tables_number 1
_symmetry_space_group_name_Hall 'P 1'
_cell_length_a 6.1422
_cell_length_b 6.1422
_cell_length_c 6.1422
_cell_angle_alpha 145.94
_cell_angle_beta 116.57
_cell_angle_gamma 73.99
loop_
_atom_site_label
_atom_site_fract_x
_atom_site_fract_y
_atom_site_fract_z
Ba1 0.2500 0.7500 0.5000
Ni1 0.7500 0.2500 0.5000
Sb1 0.9331 0.9331 0.0000
Sb2 0.5669 0.5669 0.0000
```

uncorrected formation energy: -0.29 eV/atom
space group: No. 71

Record 6
A relaxed structure of CsSr3N, computed with GGA-PBE.

CIF file:
```
data_CsSr3N
_chemical_formula_sum 'Cs1 Sr3 N1'
_symmetry_space_group_name_H-M 'P 1'
_symmetry_Int_Tables_number 1
_symmetry_space_group_name_Hall 'P 1'
_cell_length_a 5.7174
_cell_length_b 5.7174
_cell_length_c 5.7174
_cell_angle_alpha 90.00
_cell_angle_beta 90.00
_cell_angle_gamma 90.00
loop_
_atom_site_label
_atom_site_fract_x
_atom_site_fract_y
_atom_site_fract_z
Cs1 0.5000 0.5000 0.5000
Sr1 0.0000 0.5000 0.0000
Sr2 0.0000 0.0000 0.5000
Sr3 0.5000 0.0000 0.0000
N1 0.0000 0.0000 0.0000
```

distance to the lowest polymorph of the same formula: 0.000 eV/atom
uncorrected formation energy: 0.07 eV/atom
space group: No. 221

Record 7
A relaxed structure of Cs2TlGa, computed with GGA-PBE.

CIF file:
```
data_Cs2TlGa
_chemical_formula_sum 'Cs2 Tl1 Ga1'
_symmetry_space_group_name_H-M 'P 1'
_symmetry_Int_Tables_number 1
_symmetry_space_group_name_Hall 'P 1'
_cell_length_a 6.4236
_cell_length_b 6.4236
_cell_length_c 6.4236
_cell_angle_alpha 60.00
_cell_angle_beta 60.00
_cell_angle_gamma 60.00
loop_
_atom_site_label
_atom_site_fract_x
_atom_site_fract_y
_atom_site_fract_z
Cs1 0.2500 0.2500 0.2500
Cs2 0.7500 0.7500 0.7500
Tl1 0.5000 0.5000 0.5000
Ga1 0.0000 0.0000 0.0000
```

distance to the lowest polymorph of the same formula: 0.236 eV/atom
DFT formation energy: 214 meV/atom
space group: No. 225

Record 8
A relaxed structure of CaSi2F8, computed with GGA-PBE.

CIF file:
```
data_CaSi2F8
_chemical_formula_sum 'Ca1 Si2 F8'
_symmetry_space_group_name_H-M 'P 1'
_symmetry_Int_Tables_number 1
_symmetry_space_group_name_Hall 'P 1'
_cell_length_a 6.5224
_cell_length_b 5.4027
_cell_length_c 5.4027
_cell_angle_alpha 59.55
_cell_angle_beta 67.58
_cell_angle_gamma 67.58
loop_
_atom_site_label
_atom_site_fract_x
_atom_site_fract_y
_atom_site_fract_z
Ca1 0.0000 0.0000 0.0000
Si1 0.6301 0.8630 0.8630
Si2 0.3699 0.1370 0.1370
F1 0.2084 0.3528 0.8837
F2 0.7916 0.1163 0.6472
F3 0.3926 0.8204 0.8204
F4 0.6074 0.1796 0.1796
F5 0.2084 0.8837 0.3528
F6 0.7916 0.6472 0.1163
F7 0.7851 0.6660 0.6660
F8 0.2149 0.3340 0.3340
```

uncorrected formation energy: -3.01 eV/atom
space group: No. 12

Record 9
A relaxed structure of Li2Zn5In, computed with GGA-PBE.

CIF file:
```
data_Li2Zn5In
_chemical_formula_sum 'Li2 Zn5 In1'
_symmetry_space_group_name_H-M 'P 1'
_symmetry_Int_Tables_number 1
_symmetry_space_group_name_Hall 'P 1'
_cell_length_a 5.6769
_cell_length_b 5.6769
_cell_length_c 5.6769
_cell_angle_alpha 90.14
_cell_angle_beta 119.92
_cell_angle_gamma 119.92
loop_
_atom_site_label
_atom_site_fract_x
_atom_site_fract_y
_atom_site_fract_z
Li1 0.5000 0.2222 0.7222
Li2 0.5000 0.7222 0.2222
Zn1 0.5003 0.7224 0.7224
Zn2 0.0000 0.2221 0.7224
Zn3 0.0000 0.7224 0.2221
Zn4 0.4997 0.2221 0.2221
Zn5 0.0000 0.7221 0.7221
In1 0.0000 0.2225 0.2225
```

DFT formation energy: -99 meV/atom
space group: No. 139

Record 10
A relaxed structure of CeTmTcOs, computed with GGA-PBE.

CIF file:
```
data_CeTmTcOs
_chemical_formula_sum 'Ce1 Tm1 Tc1 Os1'
_symmetry_space_group_name_H-M 'P 1'
_symmetry_Int_Tables_number 1
_symmetry_space_group_name_Hall 'P 1'
_cell_length_a 4.8213
_cell_length_b 4.8213
_cell_length_c 4.8213
_cell_angle_alpha 60.00
_cell_angle_beta 60.00
_cell_angle_gamma 60.00
loop_
_atom_site_label
_atom_site_fract_x
_atom_site_fract_y
_atom_site_fract_z
Tm1 0.2500 0.2500 0.2500
Os1 0.0000 0.0000 0.0000
Tc1 0.5000 0.5000 0.5000
Ce1 0.7500 0.7500 0.7500
```

DFT formation energy: -114 meV/atom
space group: No. 216

Record 11
A relaxed structure of NiHgSb2, computed with GGA-PBE.

CIF file:
```
data_NiHgSb2
_chemical_formula_sum 'Ni1 Hg1 Sb2'
_symmetry_space_group_name_H-M 'P 1'
_symmetry_Int_Tables_number 1
_symmetry_space_group_name_Hall 'P 1'
_cell_length_a 5.0273
_cell_length_b 5.0273
_cell_length_c 5.0273
_cell_angle_alpha 60.00
_cell_angle_beta 60.00
_cell_angle_gamma 60.00
loop_
_atom_site_label
_atom_site_fract_x
_atom_site_fract_y
_atom_site_fract_z
Ni1 0.7500 0.7500 0.7500
Hg1 0.5000 0.5000 0.5000
Sb1 0.0000 0.0000 0.0000
Sb2 0.2500 0.2500 0.2500
```

uncorrected formation energy: 0.45 eV/atom
space group: No. 216

Record 12
A relaxed structure of MgPH, computed with GGA-PBE.

CIF file:
```
data_MgPH
_chemical_formula_sum 'Mg3 P3 H3'
_symmetry_space_group_name_H-M 'P 1'
_symmetry_Int_Tables_number 1
_symmetry_space_group_name_Hall 'P 1'
_cell_length_a 2.9265
_cell_length_b 2.9265
_cell_length_c 17.0401
_cell_angle_alpha 90.00
_cell_angle_beta 90.00
_cell_angle_gamma 120.00
loop_
_atom_site_label
_atom_site_fract_x
_atom_site_fract_y
_atom_site_fract_z
Mg1 0.0000 0.0000 0.9406
Mg2 0.3333 0.6667 0.6073
Mg3 0.6667 0.3333 0.2739
P1 0.0000 0.0000 0.7334
P2 0.3333 0.6667 0.4000
P3 0.6667 0.3333 0.0667
H1 0.0000 0.0000 0.2249
H2 0.3333 0.6667 0.8916
H3 0.6667 0.3333 0.5583
```

distance to the lowest polymorph of the same formula: 0.441 eV/atom
space group: No. 160